The following is a DFT calculation (PBE) of a relaxed structure of Ac3SmOs2N6.

size of the total moment	0.0	Bohr magnetons per cell
raw formation energy	-7.22	eV per formula unit
crystal system	trigonal

Cell lengths 6.112, 6.112, 6.899 Å; angles 90.00, 90.00, 120.00 degrees
Positions (direct):
N  0.172  0.828  0.283
N  0.344  0.172  0.717
N  0.828  0.656  0.717
N  0.656  0.828  0.283
N  0.828  0.172  0.717
N  0.172  0.344  0.283
Ac  0.667  0.333  0.305
Ac  0.333  0.667  0.695
Ac  0.000  0.000  0.000
Os  0.333  0.667  0.181
Os  0.667  0.333  0.819
Sm  0.000  0.000  0.500